No. 1
First-principles (PBE) data for a relaxed structure of Pm5Sn5Pb2, as listed in Alexandria via LeMat-Bulk.

Properties
DFT total energy: -4.730 eV/atom
ΔE_f: -464 meV per atom

a b c (Å): 8.376 8.376 10.549
angles (deg): 96.92 96.92 30.93
Sites, in units of the cell vectors:
Pm 0.000 0.000 0.000
Pm 0.121 0.121 0.396
Pm 0.287 0.287 0.141
Pm 0.713 0.713 0.859
Pm 0.879 0.879 0.604
Sn 0.247 0.247 0.648
Sn 0.369 0.369 0.875
Sn 0.500 0.500 0.500
Sn 0.631 0.631 0.125
Sn 0.753 0.753 0.352
Pb 0.073 0.073 0.722
Pb 0.927 0.927 0.278

---

No. 2
First-principles (PBE) data for a relaxed structure of HoPd3Pt, as listed in Alexandria via LeMat-Bulk.

Properties
energy above the most stable polymorph in this dataset: 0 meV per atom
DFT total energy: -5.842 eV/atom
ΔE_f: -603 meV per atom

a b c (Å): 5.141 7.880 4.953
angles (deg): 90.00 115.84 90.00
Sites, in units of the cell vectors:
Ho 0.000 0.204 0.250
Ho 0.000 0.796 0.750
Pd 0.320 0.128 0.901
Pd 0.320 0.872 0.401
Pd 0.500 0.428 0.250
Pd 0.500 0.572 0.750
Pd 0.680 0.128 0.599
Pd 0.680 0.872 0.099
Pt 0.000 0.420 0.750
Pt 0.000 0.580 0.250

---

No. 3
First-principles (PBE) data for a relaxed structure of YScNi2Rh, as listed in Alexandria via LeMat-Bulk.

Properties
energy above the most stable polymorph in this dataset: 0 meV per atom
DFT total energy: -6.151 eV/atom
ΔE_f: 191 meV per atom

a b c (Å): 4.785 4.785 4.517
angles (deg): 90.00 90.00 90.00
Sites, in units of the cell vectors:
Y 0.000 0.000 0.000
Sc 0.500 0.500 0.000
Ni 0.000 0.500 0.500
Ni 0.500 0.000 0.500
Rh 0.500 0.500 0.500